Entry 1:
RbYNF2 | PBE | optimized geometry

ΔE_f (raw) = -2.18 eV per atom
excess energy over the best structure of this formula in the dataset = 0.000 eV per atom
spin magnetization = 1.01 μB/f.u.

Geometry as POSCAR:
```
RbYNF2
1.0
4.5684 0.0000 0.0000
0.0000 4.5684 0.0000
0.0000 0.0000 4.4607
Rb Y N F
1 1 1 2
Cartesian
0.0000 0.0000 0.0000
2.2842 2.2842 2.2303
2.2842 2.2842 0.0000
0.0000 2.2842 2.2303
2.2842 0.0000 2.2303
```



Entry 2:
Dy6Hg3C | PBE | optimized geometry

E_form = -325 meV/atom
spin magnetization = 0.00 μB/f.u.

Geometry as POSCAR:
```
Dy6Hg3C
1.0
6.5931 0.0000 0.0000
0.0000 7.9953 0.0000
-5.6800 0.0000 10.0482
Dy Hg C
12 6 2
Cartesian
-0.7682 0.3962 2.2733
-3.6082 3.6015 7.2974
0.8466 5.7433 0.6493
-1.9934 6.2497 5.6734
2.1292 1.1790 0.5420
-0.7108 2.8186 5.5661
1.6239 5.1767 4.4821
-1.2161 6.8163 9.5062
2.9066 1.7456 4.3748
0.0665 2.2520 9.3989
4.5213 4.3939 2.7508
1.6813 7.5991 7.7749
-2.1488 0.8924 7.4506
0.6912 3.1053 2.4265
0.4566 0.0000 5.0241
3.2966 3.9977 0.0000
0.2219 4.8900 7.6217
3.0619 7.1030 2.5976
0.0000 0.0000 0.0000
-2.8400 3.9977 5.0241
```



Entry 3:
CoAs | PBE | optimized geometry

E_form = -54 meV/atom
spin magnetization = 0.00 μB/f.u.

Geometry as POSCAR:
```
CoAs
1.0
0.0000 4.1419 5.7232
3.2594 0.0000 5.7232
3.2594 4.1419 0.0000
Co As
4 4
Cartesian
0.8148 1.0355 0.0824
0.8148 1.0355 2.7792
5.7039 7.2484 8.6672
5.7039 7.2484 11.3639
2.4445 0.8160 4.2924
4.0742 2.8869 7.1540
2.4445 5.3969 4.2924
4.0742 7.4679 7.1540
```



Entry 4:
Tm2Ni4P3Rh | PBE | optimized geometry

E_form = -852 meV/atom
spin magnetization = 0.00 μB/f.u.

Geometry as POSCAR:
```
Tm2Ni4P3Rh
1.0
3.7984 0.0000 0.0000
0.0000 3.7984 0.0000
0.0000 0.0000 9.9417
Tm Ni P Rh
2 4 3 1
Cartesian
0.0000 1.8992 2.4381
1.8992 0.0000 7.5037
0.0000 0.0000 0.0000
0.0000 1.8992 6.5089
1.8992 0.0000 3.4328
1.8992 1.8992 0.0000
0.0000 1.8992 8.6699
1.8992 0.0000 1.2719
1.8992 1.8992 4.9709
0.0000 0.0000 4.9709
```